BPbI2O: single point on PBEsol structure, meta-GGA SCAN.

Cell: 2.9223 6.5214 6.5214 Å, 90.00 90.00 90.00°
Positions (direct):
Pb (0.5000, 0.5000, 0.5000)
I (0.0000, 0.0000, 0.5000)
I (0.0000, 0.5000, 0.0000)
B (0.0000, 0.0000, 0.0000)
O (0.5000, 0.0000, 0.0000)

Values from the calculation:
- crystal system = tetragonal
- formation energy from raw total energies (meV per atom) = 31
- symmetry = P4/mmm, No. 123